This record from Alexandria describes an optimized crystal structure of Y2PBr. The functional is PBE.

extended XYZ file:
```
4
Lattice="5.130 0.000 0.000 2.565 4.443 0.000 2.565 1.481 4.189" Properties=species:S:1:pos:R:3 pbc="T T T"
Y 2.565 1.481 1.047
P 7.695 4.443 3.142
Br 5.130 2.962 2.094
Y 0.000 0.000 0.000
```

Summary:
ΔE_f (raw) = -0.076 eV per atom
Total moment = 1.78 μB/f.u.
Calculated density = 5.02 g cm⁻³